# TmScSe2O (PBE, relaxed)
data_TmScSe2O
_chemical_formula_sum 'Tm2 Sc2 Se4 O2'
_cell_length_a 3.840
_cell_length_b 3.840
_cell_length_c 13.923
_cell_angle_alpha 90.00
_cell_angle_beta 90.00
_cell_angle_gamma 90.00
_symmetry_space_group_name_H-M 'P 4/n m m'
_symmetry_Int_Tables_number 129
loop_
_symmetry_equiv_pos_as_xyz
'x,y,z'
'-x,-y,-z'
'-y+1/2,x,z'
'y+1/2,-x,-z'
'-x+1/2,-y+1/2,z'
'x+1/2,y+1/2,-z'
'y,-x+1/2,z'
'-y,x+1/2,-z'
'x+1/2,-y,-z'
'-x+1/2,y,z'
'-y,-x,-z'
'y,x,z'
'-x,y+1/2,-z'
'x,-y+1/2,z'
'y+1/2,x+1/2,-z'
'-y+1/2,-x+1/2,z'
loop_
_atom_site_label
_atom_site_fract_x
_atom_site_fract_y
_atom_site_fract_z
Tm1 0.250 0.250 0.079
Sc1 0.250 0.250 0.622
Se1 0.250 0.250 0.411
Se2 0.250 0.250 0.800
O1 0.250 0.750 0.000
# Formation energy from raw total energies in eV per atom: -2.354
# Calculated volume in Å³ per cell: 205.3

***

# Sr2LiCdAu (PBE, relaxed)
data_Sr2LiCdAu
_chemical_formula_sum 'Sr2 Li1 Cd1 Au1'
_cell_length_a 6.038
_cell_length_b 6.038
_cell_length_c 4.882
_cell_angle_alpha 90.00
_cell_angle_beta 90.00
_cell_angle_gamma 90.00
_symmetry_space_group_name_H-M 'P 4/m m m'
_symmetry_Int_Tables_number 123
_symmetry_space_group_name_Hall '-P 4 2'
loop_
_atom_site_label
_atom_site_fract_x
_atom_site_fract_y
_atom_site_fract_z
Sr1 0.000 0.500 0.000
Li1 0.000 0.000 0.500
Cd1 0.500 0.500 0.500
Au1 0.000 0.000 0.000
# Formation enthalpy at 0 K in eV per atom: -0.3163
# Calculated volume in Å³ per cell: 178.0